Density functional theory data (PBE with a Hubbard U) for AlV2GaO6 after structural relaxation.

Cell and atoms, written as POSCAR:
```
AlV2GaO6
1.0
5.0621 -0.0025 0.0015
2.5325 4.3825 0.0005
2.5318 1.4590 4.5556
O V Ga Al
6 2 1 1
Cartesian
3.5612 2.9704 3.4421
6.8894 2.9734 1.1161
4.1964 1.3121 1.1151
5.8589 4.1949 3.4413
4.1028 4.4747 1.1165
5.7700 1.5927 3.4428
2.5318 1.4590 4.3228
5.0632 2.9192 1.9899
7.5958 4.3793 2.6154
2.5312 1.4595 0.2547
```

Calculated values
density of states at the Fermi level	0.000	states/eV/atom
crystal system	trigonal
E	-73.552	eV/cell